MgAgHg | Alexandria | PBE-GGA | relaxed; space-group type = I4mm, No. 107; energy above the most stable polymorph in this dataset = 0 meV per atom; ΔE_f = -174.5 meV/atom; raw total energy = -1.757 eV per atom; calculated density = 9.33 g/cm³; magnetization = 0.0 Bohr magnetons per cell
1.0
5.245 -0.048 0.000
2.826 4.419 0.000
-4.035 -2.185 2.540
Mg Ag Hg
1 1 1
Direct
0.662 0.662 0.000
0.006 0.006 0.000
0.332 0.332 0.000